The following is a DFT calculation (PBE with a Hubbard U) of Si4NiO10 after structural relaxation.

Output
The calculated total energy is -7.07 eV/atom.

Cell: 10.572 10.579 15.946 Å, 90.00 90.00 90.00°
Space group Ccce (No. 68, origin choice 2)
Unique sites:
Si 0.041 0.009 0.153 (multiplicity 16)
Si 0.241 0.208 0.653 (multiplicity 16)
Ni 0.250 0.000 0.403 (multiplicity 8)
O 0.000 0.033 0.250 (multiplicity 8)
O 0.079 0.016 0.411 (multiplicity 16)
O 0.109 0.129 0.645 (multiplicity 16)
O 0.142 0.118 0.125 (multiplicity 16)
O 0.233 0.171 0.911 (multiplicity 16)
O 0.239 0.250 0.250 (multiplicity 8)